Compound: InC2
Source: Alexandria
Functional: GGA-PBE
Structure: relaxed

Lattice parameters (Å, degrees): 6.4383 3.4702 8.2967 90.00 107.96 90.00
Space group C2/m (No. 12)
One atom of each set of equivalent atoms:
1 In 0.2234 0.0000 0.2596 x4
2 C 0.0380 0.0000 0.5824 x4
3 C 0.0626 0.5000 0.0763 x4

Results
ΔE_f ... 1.05 eV per atom
D(E_F) ... 2.03 states/eV/cell
Uncorrected energy ... -72.2 eV per cell
Energy relative to the lowest polymorph listed for this composition ... 0.375 eV per atom
Spin magnetization ... 0.00 μB per formula unit

=====

Compound: In5C4
Source: Alexandria
Functional: GGA-PBE
Structure: relaxed

Lattice parameters (Å, degrees): 7.6625 7.6625 6.5843 90.00 90.00 90.00
Space group I4/mmm (No. 139)
One atom of each set of equivalent atoms:
1 In 0.0000 0.0000 0.0000 x2
2 In 0.2120 0.2120 0.5000 x8
3 C 0.0000 0.4158 0.0000 x8

Results
ΔE_f ... 1.04 eV per atom
D(E_F) ... 3.91 states/eV/cell
Uncorrected energy ... -82.5 eV per cell
Energy relative to the lowest polymorph listed for this composition ... 0.000 eV per atom
Spin magnetization ... 0.00 μB per formula unit

=====

Compound: InC2
Source: Alexandria
Functional: GGA-PBE
Structure: relaxed

Lattice parameters (Å, degrees): 2.6262 3.4898 5.6935 85.82 76.67 71.00
Space group P1 (No. 1)
One atom of each set of equivalent atoms:
1 In 0.0000 0.0000 0.0000 x1
2 C 0.2370 0.9974 0.5284 x1
3 C 0.7653 0.9975 0.4716 x1

Results
ΔE_f ... 0.83 eV per atom
D(E_F) ... 0.82 states/eV/cell
Uncorrected energy ... -18.7 eV per cell
Energy relative to the lowest polymorph listed for this composition ... 0.164 eV per atom
Spin magnetization ... 0.00 μB per formula unit

=====

Compound: InC
Source: Alexandria
Functional: GGA-PBE
Structure: relaxed

Lattice parameters (Å, degrees): 3.3022 11.8687 3.3400 90.00 90.00 90.00
Space group Cmcm (No. 63)
One atom of each set of equivalent atoms:
1 In 0.0000 0.1456 0.2500 x4
2 C 0.0000 0.3524 0.2500 x4

Results
ΔE_f ... 1.70 eV per atom
D(E_F) ... 4.61 states/eV/cell
Uncorrected energy ... -34.2 eV per cell
Energy relative to the lowest polymorph listed for this composition ... 0.991 eV per atom
Spin magnetization ... 0.00 μB per formula unit

=====

Compound: In2IrC
Source: Alexandria
Functional: GGA-PBE
Structure: relaxed

Lattice parameters (Å, degrees): 6.7303 6.7303 6.0459 90.00 90.00 90.00
Space group I-42d (No. 122)
One atom of each set of equivalent atoms:
1 In 0.1921 0.7500 0.1250 x8
2 Ir 0.0000 0.0000 0.5000 x4
3 C 0.0000 0.0000 0.0000 x4

Results
ΔE_f ... 1.07 eV per atom
D(E_F) ... 12.93 states/eV/cell
Uncorrected energy ... -77.1 eV per cell
Spin magnetization ... 0.00 μB per formula unit

=====

Compound: InIrC3
Source: Alexandria
Functional: GGA-PBE
Structure: relaxed

Lattice parameters (Å, degrees): 4.0631 4.0631 4.0631 90.00 90.00 90.00
Space group Pm-3m (No. 221)
One atom of each set of equivalent atoms:
1 In 0.0000 0.0000 0.0000 x1
2 Ir 0.5000 0.5000 0.5000 x1
3 C 0.0000 0.5000 0.5000 x3

Results
ΔE_f ... 1.99 eV per atom
D(E_F) ... 3.29 states/eV/cell
Uncorrected energy ... -29.3 eV per cell
Energy relative to the lowest polymorph listed for this composition ... 0.000 eV per atom
Spin magnetization ... 0.00 μB per formula unit

=====

Compound: InIrC3
Source: Alexandria
Functional: GGA-PBE
Structure: relaxed

Lattice parameters (Å, degrees): 4.1929 4.1929 4.1929 90.00 90.00 90.00
Space group Pm-3m (No. 221)
One atom of each set of equivalent atoms:
1 In 0.0000 0.0000 0.0000 x1
2 Ir 0.5000 0.5000 0.5000 x1
3 C 0.0000 0.0000 0.5000 x3

Results
ΔE_f ... 3.57 eV per atom
D(E_F) ... 3.20 states/eV/cell
Uncorrected energy ... -21.4 eV per cell
Energy relative to the lowest polymorph listed for this composition ... 1.586 eV per atom
Spin magnetization ... 0.00 μB per formula unit

=====

Compound: InIrC2
Source: Alexandria
Functional: GGA-PBE
Structure: relaxed

Lattice parameters (Å, degrees): 4.9150 4.9150 9.8031 90.00 90.00 90.00
Space group I-42d (No. 122)
One atom of each set of equivalent atoms:
1 In 0.0000 0.0000 0.0000 x4
2 Ir 0.0000 0.0000 0.5000 x4
3 C 0.1932 0.2500 0.6250 x8

Results
ΔE_f ... 0.95 eV per atom
D(E_F) ... 7.59 states/eV/cell
Uncorrected energy ... -105.1 eV per cell
Spin magnetization ... 0.00 μB per formula unit

=====

Compound: Li2InIrC
Source: Alexandria
Functional: GGA-PBE
Structure: relaxed

Lattice parameters (Å, degrees): 4.2648 4.2648 3.8801 90.00 90.00 90.00
Space group P4/mmm (No. 123)
One atom of each set of equivalent atoms:
1 Li 0.0000 0.5000 0.0000 x2
2 In 0.0000 0.0000 0.5000 x1
3 Ir 0.5000 0.5000 0.5000 x1
4 C 0.5000 0.5000 0.0000 x1

Results
ΔE_f ... -0.06 eV per atom
D(E_F) ... 1.51 states/eV/cell
Uncorrected energy ... -25.0 eV per cell
Spin magnetization ... 0.00 μB per formula unit

=====

Compound: Mn2InIrC
Source: Alexandria
Functional: GGA-PBE
Structure: relaxed

Lattice parameters (Å, degrees): 3.9634 3.9634 4.1490 90.00 90.00 90.00
Space group P4/mmm (No. 123)
One atom of each set of equivalent atoms:
1 Mn 0.0000 0.5000 0.0000 x2
2 In 0.0000 0.0000 0.5000 x1
3 Ir 0.5000 0.5000 0.5000 x1
4 C 0.5000 0.5000 0.0000 x1

Results
ΔE_f ... 0.06 eV per atom
D(E_F) ... 3.83 states/eV/cell
Uncorrected energy ... -38.9 eV per cell
Spin magnetization ... 4.01 μB per formula unit

=====

Compound: InNi2IrC
Source: Alexandria
Functional: GGA-PBE
Structure: relaxed

Lattice parameters (Å, degrees): 3.9609 3.9609 4.0422 90.00 90.00 90.00
Space group P4/mmm (No. 123)
One atom of each set of equivalent atoms:
1 In 0.0000 0.0000 0.0000 x1
2 Ni 0.0000 0.5000 0.5000 x2
3 Ir 0.5000 0.5000 0.0000 x1
4 C 0.5000 0.5000 0.5000 x1

Results
ΔE_f ... 0.06 eV per atom
D(E_F) ... 2.67 states/eV/cell
Uncorrected energy ... -32.1 eV per cell
Spin magnetization ... 0.00 μB per formula unit

=====

Compound: InIrPbC2
Source: Alexandria
Functional: GGA-PBE
Structure: relaxed

Lattice parameters (Å, degrees): 4.0293 4.0293 6.0807 90.00 90.00 90.00
Space group P4/mmm (No. 123)
One atom of each set of equivalent atoms:
1 In 0.0000 0.0000 0.0000 x1
2 Ir 0.5000 0.5000 0.5000 x1
3 Pb 0.5000 0.5000 0.0000 x1
4 C 0.0000 0.5000 0.5000 x2

Results
ΔE_f ... 1.29 eV per atom
D(E_F) ... 1.32 states/eV/cell
Uncorrected energy ... -27.3 eV per cell
Spin magnetization ... 0.01 μB per formula unit